1.
First-principles (GGA-PBE) data for a relaxed structure of NaAlGa2As, as listed in the Alexandria database.

POSCAR file:
```
NaAlGa2As
1.0
5.0863 0.0000 0.0000
0.0000 5.0863 0.0000
0.0000 0.0000 5.2376
Na Al Ga As
1 1 2 1
Direct
0.0000 0.0000 0.0000 Na
0.5000 0.5000 0.0000 Al
0.0000 0.5000 0.5000 Ga
0.5000 0.0000 0.5000 Ga
0.0000 0.0000 0.5000 As
```

- calculated formation energy (eV per atom) = 0.39
- VASP energy (eV/atom) = -2.765

***

2.
First-principles (GGA-PBE) data for a relaxed structure of AlGaAs2O8, as listed in the Alexandria database.

POSCAR file:
```
AlGaAs2O8
1.0
-3.1735 3.1735 3.1385
3.1735 -3.1735 3.1385
3.1735 3.1735 -3.1385
Al Ga As O
1 1 2 8
Direct
0.0000 0.0000 0.0000 Al
0.7500 0.2500 0.5000 Ga
0.2500 0.7500 0.5000 As
0.5000 0.5000 0.0000 As
0.0650 0.3646 0.2996 O
0.0650 0.7654 0.7004 O
0.1148 0.3089 0.8059 O
0.2346 0.9350 0.2996 O
0.5030 0.3089 0.1941 O
0.6354 0.9350 0.7004 O
0.6911 0.4970 0.8059 O
0.6911 0.8852 0.1941 O
```

- uncorrected formation energy (meV/atom) = -1480
- VASP energy (eV/atom) = -6.125

***

3.
First-principles (GGA-PBE) data for a relaxed structure of AlGaAsO6, as listed in the Alexandria database.

POSCAR file:
```
AlGaAsO6
1.0
4.8697 0.0000 0.0000
-2.4348 4.2173 0.0000
0.0000 0.0000 8.4907
Al Ga As O
2 2 2 12
Direct
0.3333 0.6667 0.2500 Al
0.6667 0.3333 0.7500 Al
0.0000 0.0000 0.0000 Ga
0.0000 0.0000 0.5000 Ga
0.3333 0.6667 0.7500 As
0.6667 0.3333 0.2500 As
0.0068 0.3518 0.6320 O
0.0068 0.6550 0.8680 O
0.3450 0.3518 0.8680 O
0.3450 0.9932 0.6320 O
0.3518 0.0068 0.1320 O
0.3518 0.3450 0.3680 O
0.6482 0.6550 0.6320 O
0.6482 0.9932 0.8680 O
0.6550 0.0068 0.3680 O
0.6550 0.6482 0.1320 O
0.9932 0.3450 0.1320 O
0.9932 0.6482 0.3680 O
```

- uncorrected formation energy (meV/atom) = -1680
- VASP energy (eV/atom) = -6.254

***

4.
First-principles (GGA-PBE) data for a relaxed structure of AlGaAsP2, as listed in the Alexandria database.

POSCAR file:
```
AlGaAsP2
1.0
4.7542 0.0000 0.0000
0.0000 4.7542 0.0000
0.0000 0.0000 4.9706
Al Ga As P
1 1 1 2
Direct
0.0000 0.0000 0.0000 Al
0.5000 0.5000 0.0000 Ga
0.5000 0.5000 0.5000 As
0.0000 0.5000 0.5000 P
0.5000 0.0000 0.5000 P
```

- calculated formation energy (eV per atom) = 0.79
- VASP energy (eV/atom) = -3.657

***

5.
First-principles (GGA-PBE) data for a relaxed structure of AlGaAsP, as listed in the Alexandria database.

POSCAR file:
```
AlGaAsP
1.0
3.9746 0.0000 0.0000
-1.9873 3.4421 0.0000
0.0000 0.0000 19.4719
Al Ga As P
3 3 3 3
Direct
0.0000 0.0000 0.0000 Al
0.3333 0.6667 0.6667 Al
0.6667 0.3333 0.3333 Al
0.0000 0.0000 0.5049 Ga
0.3333 0.6667 0.1716 Ga
0.6667 0.3333 0.8383 Ga
0.0000 0.0000 0.3774 As
0.3333 0.6667 0.0440 As
0.6667 0.3333 0.7107 As
0.0000 0.0000 0.8777 P
0.3333 0.6667 0.5443 P
0.6667 0.3333 0.2110 P
```

- calculated formation energy (eV per atom) = -0.45
- VASP energy (eV/atom) = -4.653

***

6.
First-principles (GGA-PBE) data for a relaxed structure of RbAlGaAs2, as listed in the Alexandria database.

POSCAR file:
```
RbAlGaAs2
1.0
2.9700 -7.3219 0.0000
2.9700 7.3219 0.0000
0.0000 0.0000 6.6202
Rb Al Ga As
2 2 2 4
Direct
0.2500 0.7500 0.7576 Rb
0.7500 0.2500 0.2424 Rb
0.2500 0.2500 0.5000 Al
0.7500 0.7500 0.5000 Al
0.0000 0.0000 0.0000 Ga
0.5000 0.5000 0.0000 Ga
0.1032 0.8968 0.2925 As
0.3968 0.6032 0.2925 As
0.6032 0.3968 0.7075 As
0.8968 0.1032 0.7075 As
```

- calculated formation energy (eV per atom) = -0.29
- VASP energy (eV/atom) = -3.693

***

7.
First-principles (GGA-PBE) data for a relaxed structure of AlGaAsS, as listed in the Alexandria database.

POSCAR file:
```
AlGaAsS
1.0
5.9809 0.0000 0.0000
0.0000 3.5937 0.0000
-0.2016 0.0000 9.3517
Al Ga As S
2 2 2 2
Direct
0.0000 0.0000 0.0000 Al
0.5000 0.5000 0.0000 Al
0.0023 0.0000 0.2680 Ga
0.5023 0.5000 0.2680 Ga
0.1669 0.5000 0.4363 As
0.6669 0.0000 0.4363 As
0.3340 0.0000 0.8839 S
0.8340 0.5000 0.8839 S
```

- uncorrected formation energy (meV/atom) = -358
- VASP energy (eV/atom) = -4.244

***

8.
First-principles (GGA-PBE) data for a relaxed structure of ScAlGaAs2, as listed in the Alexandria database.

POSCAR file:
```
ScAlGaAs2
1.0
5.0272 0.0000 0.0000
0.0000 5.0272 0.0000
0.0000 0.0000 4.6133
Sc Al Ga As
1 1 1 2
Direct
0.0000 0.0000 0.0000 Sc
0.5000 0.5000 0.0000 Al
0.5000 0.5000 0.5000 Ga
0.0000 0.5000 0.5000 As
0.5000 0.0000 0.5000 As
```

- calculated formation energy (eV per atom) = 0.35
- VASP energy (eV/atom) = -4.128

***

9.
First-principles (GGA-PBE) data for a relaxed structure of AlGaAsSe, as listed in the Alexandria database.

POSCAR file:
```
AlGaAsSe
1.0
3.9874 0.0000 0.0000
-1.9937 3.4532 0.0000
0.0000 0.0000 7.2800
Al Ga As Se
1 1 1 1
Direct
0.0000 0.0000 0.0000 Al
0.0000 0.0000 0.3548 Ga
0.6667 0.3333 0.9022 As
0.3333 0.6667 0.5073 Se
```

- uncorrected formation energy (meV/atom) = -271
- VASP energy (eV/atom) = -3.997

***

10.
First-principles (GGA-PBE) data for a relaxed structure of AlGa2TeAs, as listed in the Alexandria database.

POSCAR file:
```
AlGa2TeAs
1.0
5.2114 0.0000 0.0000
0.0000 5.2114 0.0000
0.0000 0.0000 4.9158
Al Ga Te As
1 2 1 1
Direct
0.0000 0.0000 0.0000 Al
0.0000 0.5000 0.5000 Ga
0.5000 0.0000 0.5000 Ga
0.5000 0.5000 0.0000 Te
0.0000 0.0000 0.5000 As
```

- uncorrected formation energy (meV/atom) = 238
- VASP energy (eV/atom) = -3.279

***

11.
First-principles (GGA-PBE) data for a relaxed structure of YAl2GaAs, as listed in the Alexandria database.

POSCAR file:
```
YAl2GaAs
1.0
5.5216 0.0000 0.0000
0.0000 5.5216 0.0000
0.0000 0.0000 5.3990
Y Al Ga As
1 2 1 1
Direct
0.0000 0.0000 0.0000 Y
0.0000 0.5000 0.0000 Al
0.5000 0.0000 0.0000 Al
0.0000 0.0000 0.5000 Ga
0.5000 0.5000 0.5000 As
```

- calculated formation energy (eV per atom) = 1.13
- VASP energy (eV/atom) = -3.191

***

12.
First-principles (GGA-PBE) data for a relaxed structure of AlZnGa2As4, as listed in the Alexandria database.

POSCAR file:
```
AlZnGa2As4
1.0
5.7135 0.0000 0.0000
0.0000 5.7135 0.0000
0.0000 0.0000 11.5231
Al Zn Ga As
2 2 4 8
Direct
0.0000 0.0000 0.0000 Al
0.5000 0.5000 0.5000 Al
0.0000 0.0000 0.5000 Zn
0.5000 0.5000 0.0000 Zn
0.0000 0.5000 0.2500 Ga
0.0000 0.5000 0.7500 Ga
0.5000 0.0000 0.2500 Ga
0.5000 0.0000 0.7500 Ga
0.2493 0.2493 0.3757 As
0.2493 0.7507 0.6243 As
0.2507 0.2507 0.8757 As
0.2507 0.7493 0.1243 As
0.7493 0.2507 0.1243 As
0.7493 0.7493 0.8757 As
0.7507 0.2493 0.6243 As
0.7507 0.7507 0.3757 As
```

- calculated formation energy (eV per atom) = -0.28
- VASP energy (eV/atom) = -3.992

***

13.
First-principles (GGA-PBE) data for a relaxed structure of ZrAl2GaAs, as listed in the Alexandria database.

POSCAR file:
```
ZrAl2GaAs
1.0
5.3210 0.0000 0.0000
0.0000 5.3210 0.0000
0.0000 0.0000 5.1279
Zr Al Ga As
1 2 1 1
Direct
0.0000 0.0000 0.0000 Zr
0.0000 0.5000 0.0000 Al
0.5000 0.0000 0.0000 Al
0.5000 0.5000 0.5000 Ga
0.0000 0.0000 0.5000 As
```

- calculated formation energy (eV per atom) = 0.52
- VASP energy (eV/atom) = -4.227

***

14.
First-principles (GGA-PBE) data for a relaxed structure of GdAlAs2, as listed in the Alexandria database.

POSCAR file:
```
GdAlAs2
1.0
3.5818 0.0000 0.0000
-1.7909 3.1019 0.0000
0.0000 0.0000 26.7779
Gd Al As
3 3 6
Direct
0.0000 0.0000 0.0000 Gd
0.3333 0.6667 0.6667 Gd
0.6667 0.3333 0.3333 Gd
0.0000 0.0000 0.5000 Al
0.3333 0.6667 0.1667 Al
0.6667 0.3333 0.8333 Al
0.0000 0.0000 0.1074 As
0.0000 0.0000 0.8926 As
0.3333 0.6667 0.5592 As
0.3333 0.6667 0.7741 As
0.6667 0.3333 0.2259 As
0.6667 0.3333 0.4408 As
```

- calculated formation energy (eV per atom) = -0.06
- VASP energy (eV/atom) = -6.839

***

15.
First-principles (GGA-PBE) data for a relaxed structure of Al2GeAs, as listed in the Alexandria database.

POSCAR file:
```
Al2GeAs
1.0
5.8549 0.0000 0.0000
0.0000 5.8549 0.0000
0.0000 0.0000 11.2970
Al Ge As
8 4 4
Direct
0.2460 0.2500 0.1250 Al
0.2500 0.7460 0.3750 Al
0.2500 0.7540 0.8750 Al
0.2540 0.2500 0.6250 Al
0.7460 0.7500 0.6250 Al
0.7500 0.2460 0.8750 Al
0.7500 0.2540 0.3750 Al
0.7540 0.7500 0.1250 Al
0.0000 0.0000 0.5000 Ge
0.0000 0.5000 0.7500 Ge
0.5000 0.0000 0.2500 Ge
0.5000 0.5000 0.0000 Ge
0.0000 0.0000 0.0000 As
0.0000 0.5000 0.2500 As
0.5000 0.0000 0.7500 As
0.5000 0.5000 0.5000 As
```

- calculated formation energy (eV per atom) = -0.05
- VASP energy (eV/atom) = -4.239

***

16.
First-principles (GGA-PBE) data for a relaxed structure of Al2GeAs, as listed in the Alexandria database.

POSCAR file:
```
Al2GeAs
1.0
6.5904 0.0000 0.0000
0.0000 6.5904 0.0000
0.0000 0.0000 6.5904
Al Ge As
8 4 4
Direct
0.2500 0.2500 0.2500 Al
0.2500 0.2500 0.7500 Al
0.2500 0.7500 0.2500 Al
0.2500 0.7500 0.7500 Al
0.7500 0.2500 0.2500 Al
0.7500 0.2500 0.7500 Al
0.7500 0.7500 0.2500 Al
0.7500 0.7500 0.7500 Al
0.0000 0.0000 0.0000 Ge
0.0000 0.5000 0.5000 Ge
0.5000 0.0000 0.5000 Ge
0.5000 0.5000 0.0000 Ge
0.0000 0.0000 0.5000 As
0.0000 0.5000 0.0000 As
0.5000 0.0000 0.0000 As
0.5000 0.5000 0.5000 As
```

- calculated formation energy (eV per atom) = 0.17
- VASP energy (eV/atom) = -4.015

***

17.
First-principles (GGA-PBE) data for a relaxed structure of AlGeAs3, as listed in the Alexandria database.

POSCAR file:
```
AlGeAs3
1.0
4.8552 0.0000 0.0000
0.0000 4.8552 0.0000
0.0000 0.0000 4.8552
Al Ge As
1 1 3
Direct
0.0000 0.0000 0.0000 Al
0.5000 0.5000 0.5000 Ge
0.0000 0.0000 0.5000 As
0.0000 0.5000 0.0000 As
0.5000 0.0000 0.0000 As
```

- calculated formation energy (eV per atom) = 0.58
- VASP energy (eV/atom) = -3.881

***

18.
First-principles (GGA-PBE) data for a relaxed structure of Al3GeAs, as listed in the Alexandria database.

POSCAR file:
```
Al3GeAs
1.0
4.8416 0.0000 0.0000
0.0000 4.8416 0.0000
0.0000 0.0000 4.8416
Al Ge As
3 1 1
Direct
0.0000 0.0000 0.5000 Al
0.0000 0.5000 0.0000 Al
0.5000 0.0000 0.0000 Al
0.0000 0.0000 0.0000 Ge
0.5000 0.5000 0.5000 As
```

- calculated formation energy (eV per atom) = 0.57
- VASP energy (eV/atom) = -3.529

***

19.
First-principles (GGA-PBE) data for a relaxed structure of AlGe2As2, as listed in the Alexandria database.

POSCAR file:
```
AlGe2As2
1.0
7.3136 0.0000 0.0000
0.0000 7.3136 0.0000
0.0000 0.0000 3.8021
Al Ge As
2 4 4
Direct
0.0000 0.0000 0.0000 Al
0.5000 0.5000 0.0000 Al
0.1394 0.3606 0.5000 Ge
0.3606 0.8606 0.5000 Ge
0.6394 0.1394 0.5000 Ge
0.8606 0.6394 0.5000 Ge
0.1820 0.6820 0.0000 As
0.3180 0.1820 0.0000 As
0.6820 0.8180 0.0000 As
0.8180 0.3180 0.0000 As
```

- calculated formation energy (eV per atom) = 0.24
- VASP energy (eV/atom) = -4.219

***

20.
First-principles (GGA-PBE) data for a relaxed structure of AlGeAs2, as listed in the Alexandria database.

POSCAR file:
```
AlGeAs2
1.0
6.6854 0.0000 0.0000
0.0000 6.6854 0.0000
0.0000 0.0000 6.6854
Al Ge As
4 4 8
Direct
0.0000 0.0000 0.0000 Al
0.0000 0.5000 0.5000 Al
0.5000 0.0000 0.5000 Al
0.5000 0.5000 0.0000 Al
0.0000 0.0000 0.5000 Ge
0.0000 0.5000 0.0000 Ge
0.5000 0.0000 0.0000 Ge
0.5000 0.5000 0.5000 Ge
0.2500 0.2500 0.2500 As
0.2500 0.2500 0.7500 As
0.2500 0.7500 0.2500 As
0.2500 0.7500 0.7500 As
0.7500 0.2500 0.2500 As
0.7500 0.2500 0.7500 As
0.7500 0.7500 0.2500 As
0.7500 0.7500 0.7500 As
```

- calculated formation energy (eV per atom) = 0.25
- VASP energy (eV/atom) = -4.168

***

21.
First-principles (GGA-PBE) data for a relaxed structure of AlGeAs2, as listed in the Alexandria database.

POSCAR file:
```
AlGeAs2
1.0
5.8426 0.0000 0.0000
0.0000 5.8426 0.0000
0.0000 0.0000 11.8252
Al Ge As
4 4 8
Direct
0.0000 0.0000 0.0000 Al
0.0000 0.5000 0.2500 Al
0.5000 0.0000 0.7500 Al
0.5000 0.5000 0.5000 Al
0.0000 0.0000 0.5000 Ge
0.0000 0.5000 0.7500 Ge
0.5000 0.0000 0.2500 Ge
0.5000 0.5000 0.0000 Ge
0.2352 0.2500 0.1250 As
0.2500 0.7352 0.3750 As
0.2500 0.7648 0.8750 As
0.2648 0.2500 0.6250 As
0.7352 0.7500 0.6250 As
0.7500 0.2352 0.8750 As
0.7500 0.2648 0.3750 As
0.7648 0.7500 0.1250 As
```

- calculated formation energy (eV per atom) = -0.10
- VASP energy (eV/atom) = -4.518

***

22.
First-principles (GGA-PBE) data for a relaxed structure of AlGeAs2, as listed in the Alexandria database.

POSCAR file:
```
AlGeAs2
1.0
3.7970 0.0000 0.0000
-1.8985 3.2883 0.0000
0.0000 0.0000 22.9642
Al Ge As
3 3 6
Direct
0.0000 0.0000 0.0000 Al
0.3333 0.6667 0.6667 Al
0.6667 0.3333 0.3333 Al
0.0000 0.0000 0.5000 Ge
0.3333 0.6667 0.1667 Ge
0.6667 0.3333 0.8333 Ge
0.0000 0.0000 0.1046 As
0.0000 0.0000 0.8954 As
0.3333 0.6667 0.5621 As
0.3333 0.6667 0.7713 As
0.6667 0.3333 0.2287 As
0.6667 0.3333 0.4379 As
```

- calculated formation energy (eV per atom) = 0.38
- VASP energy (eV/atom) = -4.036

***

23.
First-principles (GGA-PBE) data for a relaxed structure of Al2GeAs, as listed in the Alexandria database.

POSCAR file:
```
Al2GeAs
1.0
3.8388 0.0000 0.0000
-1.9194 3.3245 0.0000
0.0000 0.0000 21.9920
Al Ge As
6 3 3
Direct
0.0000 0.0000 0.1095 Al
0.0000 0.0000 0.8905 Al
0.3333 0.6667 0.5572 Al
0.3333 0.6667 0.7762 Al
0.6667 0.3333 0.2238 Al
0.6667 0.3333 0.4428 Al
0.0000 0.0000 0.5000 Ge
0.3333 0.6667 0.1667 Ge
0.6667 0.3333 0.8333 Ge
0.0000 0.0000 0.0000 As
0.3333 0.6667 0.6667 As
0.6667 0.3333 0.3333 As
```

- calculated formation energy (eV per atom) = 0.33
- VASP energy (eV/atom) = -3.862

***

24.
First-principles (GGA-PBE) data for a relaxed structure of HfAl2GeAs, as listed in the Alexandria database.

POSCAR file:
```
HfAl2GeAs
1.0
4.7163 0.0000 0.0000
0.0000 4.7163 0.0000
0.0000 0.0000 5.0176
Hf Al Ge As
1 2 1 1
Direct
0.0000 0.0000 0.0000 Hf
0.0000 0.5000 0.5000 Al
0.5000 0.0000 0.5000 Al
0.5000 0.5000 0.0000 Ge
0.5000 0.5000 0.5000 As
```

- calculated formation energy (eV per atom) = 0.73
- VASP energy (eV/atom) = -4.613

***

25.
First-principles (GGA-PBE) data for a relaxed structure of AlGe2AsI, as listed in the Alexandria database.

POSCAR file:
```
AlGe2AsI
1.0
4.9492 0.0000 0.0000
0.0000 4.9492 0.0000
0.0000 0.0000 5.3593
Al Ge As I
1 2 1 1
Direct
0.0000 0.0000 0.0000 Al
0.0000 0.5000 0.0000 Ge
0.5000 0.0000 0.0000 Ge
0.5000 0.5000 0.5000 As
0.0000 0.0000 0.5000 I
```

- uncorrected formation energy (meV/atom) = 717
- VASP energy (eV/atom) = -3.119

***

26.
First-principles (GGA-PBE) data for a relaxed structure of AlGeMo2As, as listed in the Alexandria database.

POSCAR file:
```
AlGeMo2As
1.0
4.7317 0.0000 0.0000
0.0000 4.7317 0.0000
0.0000 0.0000 4.7070
Al Ge Mo As
1 1 2 1
Direct
0.0000 0.0000 0.0000 Al
0.5000 0.5000 0.5000 Ge
0.0000 0.5000 0.5000 Mo
0.5000 0.0000 0.5000 Mo
0.5000 0.5000 0.0000 As
```

- calculated formation energy (eV per atom) = 1.29
- VASP energy (eV/atom) = -5.640

***

27.
First-principles (GGA-PBE) data for a relaxed structure of AlNi7Ge2As2, as listed in the Alexandria database.

POSCAR file:
```
AlNi7Ge2As2
1.0
2.4805 -2.4609 0.0000
2.4805 2.4609 0.0000
-1.8419 0.0000 13.4938
Al Ni Ge As
1 7 2 2
Direct
0.0000 0.0000 0.0000 Al
0.0523 0.5519 0.1358 Ni
0.3150 0.3150 0.5621 Ni
0.4481 0.9477 0.8642 Ni
0.5000 0.5000 0.0000 Ni
0.5519 0.0523 0.1358 Ni
0.6850 0.6850 0.4379 Ni
0.9477 0.4481 0.8642 Ni
0.4018 0.4018 0.7435 Ge
0.5982 0.5982 0.2565 Ge
0.1623 0.1623 0.3918 As
0.8377 0.8377 0.6082 As
```

- calculated formation energy (eV per atom) = -0.18
- VASP energy (eV/atom) = -5.410